A plane-wave DFT calculation with PBE-GGA was carried out for crystalline AlNi5B2Pt2 at its relaxed geometry.

Structure (POSCAR):
```
AlNi5B2Pt2
1.0
3.2489 0.0000 0.0000
0.0000 8.1859 0.0000
0.0000 0.0000 8.1859
Ni Pt B Al
10 4 4 2
direct
0.5000 0.9340 0.2150
0.5000 0.0000 0.5000
0.5000 0.7150 0.4340
0.5000 0.7850 0.9340
0.5000 0.2150 0.0660
0.5000 0.0660 0.7850
0.5000 0.5000 0.0000
0.5000 0.5660 0.7150
0.5000 0.4340 0.2850
0.5000 0.2850 0.5660
0.0000 0.3214 0.8214
0.0000 0.6786 0.1786
0.0000 0.1786 0.3214
0.0000 0.8214 0.6786
0.0000 0.1254 0.6254
0.0000 0.6254 0.8746
0.0000 0.8746 0.3746
0.0000 0.3746 0.1254
0.0000 0.0000 0.0000
0.0000 0.5000 0.5000
```

Properties
**Crystal system**: tetragonal
**Energy relative to the elements**: -0.318 eV/atom